No. 1
FeTcSeBr2 PBE optimized geometry; symmetry = P4/mmm; energy relative to the elements, uncorrected = 0.7055 eV per atom
1.0
-3.0069 3.5260 2.4105
-1.4762 -3.6242 3.4599
3.6187 1.1832 2.7834
Se Tc Br Fe
1 1 2 1
direct
0.0000 0.0000 0.5000
0.0000 0.0000 0.0000
0.0000 0.5000 0.0000
0.5000 0.0000 0.0000
0.5000 0.5000 0.5000

No. 2
PrGa6Pd4 PBE optimized geometry; symmetry = P-6m2; E_form = -646 meV/atom
1.0
4.1256 0.0000 0.0000
0.0000 7.3615 0.0000
0.0000 -3.6807 6.3752
Pr Ga Pd
1 6 4
direct
0.0000 0.0000 0.0000
0.0000 0.5354 0.0708
0.5000 0.6033 0.8016
0.0000 0.5354 0.4646
0.0000 0.9292 0.4646
0.5000 0.1984 0.8016
0.5000 0.1984 0.3967
0.5000 0.7971 0.5943
0.5000 0.4057 0.2029
0.5000 0.7971 0.2029
0.0000 0.3333 0.6667